CsMg6SiO8, optimized geometry, DFT GGA-PBE; total magnetic moment = 0.00 μB per formula unit; formation energy from raw total energies = -2.31 eV per atom
1.0
-0.334 -4.178 0.413
4.854 -0.800 -4.725
5.137 0.119 5.329
Si Mg O Cs
1 6 8 1
direct
0.039 0.103 0.997
0.001 0.384 0.284
0.001 0.391 0.720
0.002 0.895 0.499
0.505 0.097 0.723
0.505 0.091 0.273
0.502 0.579 0.501
0.999 0.082 0.735
0.002 0.594 0.500
0.502 0.904 0.498
0.501 0.381 0.303
0.501 0.390 0.703
0.998 0.346 0.002
0.998 0.075 0.260
0.428 0.044 0.996
0.514 0.642 0.006

---

CsMg6SiO8, optimized geometry, DFT GGA-PBE; total magnetic moment = 0.00 μB per formula unit; formation energy from raw total energies = -1.84 eV per atom
1.0
4.905 0.000 0.000
0.000 4.905 0.000
0.000 0.000 8.364
O Si Mg Cs
8 1 6 1
direct
0.000 0.500 0.500
0.500 0.500 0.751
0.000 0.000 0.195
0.500 0.000 0.500
0.000 0.500 0.000
0.000 0.000 0.805
0.500 0.500 0.249
0.500 0.000 0.000
0.000 0.000 0.000
0.500 0.500 0.500
0.000 0.500 0.248
0.500 0.000 0.248
0.500 0.000 0.752
0.000 0.500 0.752
0.500 0.500 0.000
0.000 0.000 0.500

---

Cs8MgSn8O12, optimized geometry, DFT GGA-PBE; total magnetic moment = 0.00 μB per formula unit; formation energy from raw total energies = -1.33 eV per atom
1.0
-0.498 5.377 -3.072
2.267 -4.209 -7.736
-15.132 -4.057 -4.649
O Sn Cs Mg
12 8 8 1
direct
0.748 0.289 0.302
0.500 0.446 0.640
0.247 0.801 0.257
0.248 0.704 0.703
0.752 0.704 0.703
0.753 0.801 0.257
0.000 0.910 0.797
0.252 0.289 0.302
0.500 0.088 0.207
0.747 0.196 0.738
0.000 0.555 0.354
0.253 0.196 0.738
0.500 0.340 0.762
0.500 0.873 0.177
0.000 0.130 0.819
0.000 0.860 0.675
0.500 0.677 0.622
0.500 0.133 0.329
0.000 0.658 0.231
0.000 0.326 0.381
0.000 0.569 0.851
0.000 0.424 0.616
0.500 0.132 0.583
0.000 0.868 0.408
0.000 0.119 0.173
0.500 0.581 0.381
0.500 0.433 0.159
0.500 0.880 0.824
0.500 0.219 0.962

---

CsTbMgO3, optimized geometry, DFT GGA-PBE; total magnetic moment = 0.00 μB per formula unit; formation energy from raw total energies = -2.56 eV per atom
1.0
-1.105 0.856 -3.349
-4.622 -6.633 -0.171
-4.656 6.743 3.259
Mg Cs Tb O
2 2 2 6
direct
0.250 0.082 0.613
0.750 0.918 0.387
0.750 0.790 0.783
0.250 0.210 0.217
0.750 0.339 0.863
0.250 0.661 0.137
0.750 0.848 0.153
0.750 0.473 0.128
0.750 0.153 0.567
0.250 0.527 0.872
0.250 0.847 0.433
0.250 0.152 0.847